Record 1
The following is a PBE-GGA calculation of a relaxed structure of Ce2CuC, from the Alexandria database.

Structure (extended XYZ):
```
4
Lattice="-0.159 -1.810 2.823 -0.873 -3.239 -0.129 8.023 -3.901 -0.054" Properties=species:S:1:pos:R:3 pbc="T T T"
Ce 1.738 -5.783 2.379
C 3.495 -4.475 1.320
Ce 5.253 -3.167 0.262
Cu 0.000 0.000 0.000
```

**Space-group type**: R-3m
**VASP energy**: -6.072 eV/atom

=====

Record 2
The following is a PBE-GGA calculation of a relaxed structure of Ce4Cu2C, from the Alexandria database.

Structure (extended XYZ):
```
7
Lattice="-1.721 3.694 -2.356 -3.879 -2.461 -1.025 -6.135 3.183 4.770" Properties=species:S:1:pos:R:3 pbc="T T T"
C 0.000 0.000 0.000
Cu -6.481 1.910 -1.675
Ce -1.940 -1.231 -0.512
Ce -7.652 2.812 0.593
Ce -0.861 1.847 -1.178
Cu -5.255 2.506 3.064
Ce -4.084 1.604 0.796
```

**Space-group type**: I4/mmm
**VASP energy**: -5.645 eV/atom

=====

Record 3
The following is a PBE-GGA calculation of a relaxed structure of Ce2ErCuC, from the Alexandria database.

Structure (extended XYZ):
```
5
Lattice="4.873 0.000 0.000 0.000 4.872 0.000 0.000 0.000 4.811" Properties=species:S:1:pos:R:3 pbc="T T T"
Ce 2.436 4.872 0.002
Er 0.000 4.872 2.405
Cu 2.436 2.436 2.409
Ce 0.000 2.436 4.807
C 0.000 0.000 4.811
```

**Space-group type**: P4/mmm
**VASP energy**: -5.943 eV/atom

=====

Record 4
The following is a PBE-GGA calculation of a relaxed structure of CeFeCuC, from the Alexandria database.

Structure (extended XYZ):
```
8
Lattice="3.418 0.000 0.000 0.000 3.418 0.000 0.000 0.000 9.961" Properties=species:S:1:pos:R:3 pbc="T T T"
Fe 2.563 0.854 0.000
Cu 2.563 0.854 4.980
C 2.563 2.563 8.974
Cu 0.854 2.563 4.980
Ce 0.854 0.854 7.589
C 0.854 0.854 0.986
Ce 2.563 2.563 2.371
Fe 0.854 2.563 0.000
```

**Space-group type**: P4/nmm
**VASP energy**: -7.044 eV/atom

=====

Record 5
The following is a PBE-GGA calculation of a relaxed structure of Ce2HoCuC, from the Alexandria database.

Structure (extended XYZ):
```
5
Lattice="-2.839 3.855 -0.884 -3.644 -2.972 -1.262 -1.530 -0.074 4.590" Properties=species:S:1:pos:R:3 pbc="T T T"
Ce -3.351 -1.560 3.958
Cu -4.007 0.404 1.223
C -1.530 -0.074 4.590
Ho -4.408 -3.009 1.033
Ce -6.593 -1.118 2.886
```

**Space-group type**: P4/mmm
**VASP energy**: -5.941 eV/atom

=====

Record 6
The following is a PBE-GGA calculation of a relaxed structure of CeMnCuC, from the Alexandria database.

Structure (extended XYZ):
```
8
Lattice="-0.678 2.349 -2.326 -2.356 1.322 2.022 7.072 6.190 4.191" Properties=species:S:1:pos:R:3 pbc="T T T"
Mn -1.936 1.579 0.935
Ce 4.591 5.600 3.094
C 4.000 8.246 3.491
Cu 1.600 4.674 3.031
Cu 2.439 5.187 0.857
Mn -1.097 2.093 -1.239
C 0.039 1.616 0.397
Ce -0.552 4.262 0.794
```

**Space-group type**: P4/nmm
**VASP energy**: -7.210 eV/atom

=====

Record 7
The following is a PBE-GGA calculation of a relaxed structure of CeDyC, from the Alexandria database.

Structure (extended XYZ):
```
3
Lattice="4.347 0.000 0.000 2.173 3.764 0.000 2.173 1.255 3.549" Properties=species:S:1:pos:R:3 pbc="T T T"
Ce 4.347 2.510 1.775
C 2.173 1.255 0.887
Dy 0.000 0.000 0.000
```

**Space-group type**: F-43m
**VASP energy**: -6.433 eV/atom

=====

Record 8
The following is a PBE-GGA calculation of a relaxed structure of CeDyC, from the Alexandria database.

Structure (extended XYZ):
```
6
Lattice="3.547 0.000 0.000 -1.773 3.072 0.000 0.000 0.000 12.778" Properties=species:S:1:pos:R:3 pbc="T T T"
Ce 0.000 2.048 3.061
C 0.000 2.048 8.042
Dy 0.000 0.000 0.278
C 1.773 1.024 1.653
Ce 1.773 1.024 9.450
Dy 0.000 0.000 6.667
```

**Space-group type**: P6_3mc
**VASP energy**: -6.779 eV/atom